Entry 1:
The following is a PBE calculation of a geometry-optimized LaRuAu2 structure, from Alexandria via LeMat-Bulk.

```
LaRuAu2
1.0
5.518 -0.043 -0.029
3.543 4.230 -0.029
3.543 1.637 3.901
Au Ru La
2 1 1
Cartesian
0.318 0.147 0.097
3.689 1.705 1.125
8.567 3.958 2.612
6.333 2.926 1.931
```

Summary:
Final energy, eV per cell: -21.847
DOS at the Fermi energy, states/eV/f.u.: 3.3
Formation energy from the elements, eV/atom: -0.2722

Entry 2:
The following is a PBE calculation of a geometry-optimized La6Ru2Au structure, from Alexandria via LeMat-Bulk.

```
La6Ru2Au
1.0
5.281 0.000 0.000
-2.641 5.254 -0.071
0.000 -1.596 9.153
La Au Ru
6 1 2
Cartesian
2.641 0.987 5.521
0.000 2.657 7.623
2.641 1.000 1.460
0.000 -0.653 7.670
0.000 2.671 3.561
2.641 4.311 1.412
0.000 -0.798 4.577
2.641 0.975 8.002
0.000 2.683 1.081
```

Summary:
Final energy, eV per cell: -54.538
DOS at the Fermi energy, states/eV/f.u.: 9.6
Formation energy from the elements, eV/atom: -0.3493

Entry 3:
The following is a PBE calculation of a geometry-optimized La4RuAu2 structure, from Alexandria via LeMat-Bulk.

```
La4RuAu2
1.0
-2.961 2.779 -0.626
-3.046 -0.414 12.571
9.973 11.257 2.787
Au La Ru
8 16 4
Cartesian
5.470 12.433 9.083
5.555 10.467 13.438
-0.109 6.337 8.419
0.756 5.251 12.991
4.075 7.284 6.313
3.210 8.370 1.741
-1.505 1.188 5.649
-1.590 3.154 1.294
2.143 8.693 8.222
0.748 5.539 0.825
5.903 9.600 7.946
1.823 4.929 6.510
3.446 10.719 11.047
3.218 8.082 13.907
4.086 9.929 4.515
-1.937 4.021 6.786
6.458 12.804 6.058
6.507 12.106 2.731
-2.492 0.817 8.674
-2.541 1.515 12.001
-0.120 3.693 10.217
0.520 2.903 3.685
0.675 7.789 11.152
3.291 5.832 3.580
3.658 7.861 10.849
6.907 10.017 5.046
0.308 5.760 3.883
-2.941 3.604 9.686
```

Summary:
Final energy, eV per cell: -156.574
DOS at the Fermi energy, states/eV/f.u.: 6.4
Formation energy from the elements, eV/atom: -0.5147

Entry 4:
The following is a PBE calculation of a geometry-optimized La2RuAu structure, from Alexandria via LeMat-Bulk.

```
La2RuAu
1.0
-3.630 0.336 3.427
-2.809 -4.000 1.069
0.504 -2.304 4.412
Au Ru La
1 1 2
Cartesian
-2.967 -2.984 4.454
-4.451 -4.477 6.681
-1.484 -1.492 2.227
0.000 0.000 0.000
```

Summary:
Final energy, eV per cell: -23.256
DOS at the Fermi energy, states/eV/f.u.: 4.2
Formation energy from the elements, eV/atom: -0.2121

Which value of formation energy from the elements does entry 4 give? -0.2121 eV/atom

Which value of DOS at the Fermi energy does entry 2 give? 9.6 states/eV/f.u.

Which value of final energy does entry 1 give? -21.847 eV per cell